{"formula": "HoAl2Te6", "functional": "PBE-GGA", "state": "optimized geometry", "sg": "C2/c (15)", "e_form_raw_ev_per_atom": -0.48, "energy_ev_per_atom": -3.9170, "dos_ef_per_ev_cell": 0.83, "cell": [[7.739, -5.082, 0.000], [7.739, 5.082, 0.000], [-1.605, 0.000, 7.839]], "species": ["Ho", "Ho", "Al", "Al", "Al", "Al", "Te", "Te", "Te", "Te", "Te", "Te", "Te", "Te", "Te", "Te", "Te", "Te"], "frac_coords": [[0.115, 0.885, 0.750], [0.885, 0.115, 0.250], [0.216, 0.377, 0.673], [0.377, 0.216, 0.173], [0.623, 0.784, 0.827], [0.784, 0.623, 0.327], [0.037, 0.206, 0.608], [0.120, 0.614, 0.913], [0.206, 0.037, 0.108], [0.286, 0.466, 0.410], [0.386, 0.880, 0.587], [0.466, 0.286, 0.910], [0.534, 0.714, 0.090], [0.614, 0.120, 0.413], [0.714, 0.534, 0.590], [0.794, 0.963, 0.892], [0.880, 0.386, 0.087], [0.963, 0.794, 0.392]]}


{"formula": "HoAlTlTe3", "functional": "PBE-GGA", "state": "optimized geometry", "sg": "P2_1/m (11)", "e_form_raw_ev_per_atom": -0.70, "energy_ev_per_atom": -4.0474, "dos_ef_per_ev_cell": 3.88, "cell": [[9.239, 0.000, 0.000], [0.000, 4.556, 0.000], [-3.748, 0.000, 9.727]], "species": ["Ho", "Ho", "Al", "Al", "Tl", "Tl", "Te", "Te", "Te", "Te", "Te", "Te"], "frac_coords": [[0.177, 0.250, 0.138], [0.823, 0.750, 0.862], [0.396, 0.750, 0.379], [0.604, 0.250, 0.621], [0.288, 0.750, 0.762], [0.712, 0.250, 0.238], [0.031, 0.250, 0.827], [0.294, 0.250, 0.470], [0.405, 0.750, 0.121], [0.595, 0.250, 0.879], [0.706, 0.750, 0.530], [0.969, 0.750, 0.173]]}


{"formula": "Ho3AlTl4Te8", "functional": "PBE-GGA", "state": "optimized geometry", "sg": "R-3m (166)", "e_form_raw_ev_per_atom": -0.85, "energy_ev_per_atom": -4.1002, "dos_ef_per_ev_cell": 1.45, "cell": [[4.386, 2.532, 8.149], [-4.386, 2.532, 8.149], [0.000, -5.065, 8.149]], "species": ["Ho", "Ho", "Ho", "Al", "Tl", "Tl", "Tl", "Tl", "Te", "Te", "Te", "Te", "Te", "Te", "Te", "Te"], "frac_coords": [[0.000, 0.500, 0.500], [0.500, 0.000, 0.500], [0.500, 0.500, 0.000], [0.000, 0.000, 0.000], [0.000, 0.000, 0.500], [0.000, 0.500, 0.000], [0.500, 0.000, 0.000], [0.500, 0.500, 0.500], [0.225, 0.225, 0.753], [0.225, 0.753, 0.225], [0.247, 0.775, 0.775], [0.262, 0.262, 0.262], [0.738, 0.738, 0.738], [0.753, 0.225, 0.225], [0.775, 0.247, 0.775], [0.775, 0.775, 0.247]]}